1.
{
  "formula": "TaAgIr",
  "functional": "PBE-GGA",
  "state": "optimized geometry",
  "lattice": [[4.498, 0.000, 0.000], [-2.249, 3.895, 0.000], [0.000, 0.000, 2.856]],
  "species": ["Ta", "Ag", "Ir"],
  "frac_coords": [[0.000, 0.000, 0.000], [0.667, 0.333, 0.386], [0.333, 0.667, 0.766]],
  "formation_enthalpy_0k_kj_per_mol_atoms": 2,
  "n_ef_per_ev_cell": 2.24
}

=====

2.
{
  "formula": "DyPuCdRu",
  "functional": "PBE-GGA",
  "state": "optimized geometry",
  "lattice": [[3.331, 0.000, 0.000], [0.000, 3.331, 0.000], [0.000, 0.000, 8.310]],
  "species": ["Dy", "Pu", "Cd", "Ru"],
  "frac_coords": [[0.000, 0.000, 0.000], [0.000, 0.000, 0.585], [0.500, 0.500, 0.289], [0.500, 0.500, 0.791]],
  "formation_enthalpy_0k_kj_per_mol_atoms": -22,
  "n_ef_per_ev_cell": 8.17
}

=====

3.
{
  "formula": "SrTmN",
  "functional": "PBE-GGA",
  "state": "optimized geometry",
  "lattice": [[3.534, 0.000, 0.000], [-1.767, 3.061, 0.000], [0.000, 0.000, 13.060]],
  "species": ["Sr", "Sr", "Tm", "Tm", "N", "N"],
  "frac_coords": [[0.000, 0.000, 0.113], [0.000, 0.000, 0.887], [0.333, 0.667, 0.389], [0.333, 0.667, 0.611], [0.000, 0.000, 0.500], [0.333, 0.667, 0.000]],
  "raw_formation_energy_ev_per_fu": -1.32,
  "n_ef_per_ev_cell": 4.49
}

=====

4.
{
  "formula": "Dy4Er3In2",
  "functional": "PBE-GGA",
  "state": "optimized geometry",
  "lattice": [[6.209, -2.631, 0.000], [6.209, 2.631, 0.000], [-2.162, 0.000, 8.070]],
  "species": ["Dy", "Dy", "Dy", "Dy", "Er", "Er", "Er", "In", "In"],
  "frac_coords": [[0.120, 0.120, 0.158], [0.331, 0.331, 0.534], [0.669, 0.669, 0.466], [0.880, 0.880, 0.842], [0.000, 0.000, 0.500], [0.424, 0.424, 0.153], [0.576, 0.576, 0.847], [0.211, 0.211, 0.817], [0.789, 0.789, 0.183]],
  "formation_enthalpy_0k_kj_per_mol_atoms": -19,
  "n_ef_per_ev_cell": 9.51
}

=====

5.
{
  "formula": "Li3Ag2Pb",
  "functional": "PBE-GGA",
  "state": "optimized geometry",
  "lattice": [[4.458, 0.000, 0.000], [0.000, 13.264, 0.000], [0.000, 0.000, 3.614]],
  "species": ["Li", "Li", "Li", "Li", "Li", "Li", "Ag", "Ag", "Ag", "Ag", "Pb", "Pb"],
  "frac_coords": [[0.250, 0.077, 0.001], [0.250, 0.423, 0.001], [0.250, 0.750, 0.998], [0.750, 0.250, 0.002], [0.750, 0.577, 0.999], [0.750, 0.923, 0.999], [0.250, 0.579, 0.500], [0.250, 0.921, 0.500], [0.750, 0.079, 0.500], [0.750, 0.421, 0.500], [0.250, 0.250, 0.501], [0.750, 0.750, 0.499]],
  "formation_enthalpy_0k_kj_per_mol_atoms": -21,
  "n_ef_per_ev_cell": 5.04
}

=====

6.
{
  "formula": "Ga12Bi3Cl5",
  "functional": "PBE-GGA",
  "state": "optimized geometry",
  "lattice": [[-8.666, 8.666, 8.666], [8.666, -8.666, 8.666], [8.666, 8.666, -8.666]],
  "species": ["Ga", "Ga", "Ga", "Ga", "Ga", "Ga", "Ga", "Ga", "Ga", "Ga", "Ga", "Ga", "Ga", "Ga", "Ga", "Ga", "Ga", "Ga", "Ga", "Ga", "Ga", "Ga", "Ga", "Ga", "Ga", "Ga", "Ga", "Ga", "Ga", "Ga", "Ga", "Ga", "Ga", "Ga", "Ga", "Ga", "Ga", "Ga", "Ga", "Ga", "Ga", "Ga", "Ga", "Ga", "Ga", "Ga", "Ga", "Ga", "Bi", "Bi", "Bi", "Bi", "Bi", "Bi", "Bi", "Bi", "Bi", "Bi", "Bi", "Bi", "Cl", "Cl", "Cl", "Cl", "Cl", "Cl", "Cl", "Cl", "Cl", "Cl", "Cl", "Cl", "Cl", "Cl", "Cl", "Cl", "Cl", "Cl", "Cl", "Cl"],
  "frac_coords": [[0.057, 0.222, 0.144], [0.057, 0.335, 0.913], [0.078, 0.722, 0.665], [0.078, 0.856, 0.413], [0.087, 0.644, 0.422], [0.087, 0.943, 0.665], [0.144, 0.057, 0.222], [0.144, 0.587, 0.922], [0.165, 0.222, 0.578], [0.165, 0.443, 0.587], [0.222, 0.144, 0.057], [0.222, 0.578, 0.165], [0.278, 0.335, 0.922], [0.278, 0.443, 0.356], [0.335, 0.913, 0.057], [0.335, 0.922, 0.278], [0.356, 0.278, 0.443], [0.356, 0.578, 0.913], [0.413, 0.078, 0.856], [0.413, 0.835, 0.557], [0.422, 0.087, 0.644], [0.422, 0.835, 0.778], [0.443, 0.356, 0.278], [0.443, 0.587, 0.165], [0.557, 0.413, 0.835], [0.557, 0.644, 0.722], [0.578, 0.165, 0.222], [0.578, 0.913, 0.356], [0.587, 0.165, 0.443], [0.587, 0.922, 0.144], [0.644, 0.422, 0.087], [0.644, 0.722, 0.557], [0.665, 0.078, 0.722], [0.665, 0.087, 0.943], [0.722, 0.557, 0.644], [0.722, 0.665, 0.078], [0.778, 0.422, 0.835], [0.778, 0.856, 0.943], [0.835, 0.557, 0.413], [0.835, 0.778, 0.422], [0.856, 0.413, 0.078], [0.856, 0.943, 0.778], [0.913, 0.057, 0.335], [0.913, 0.356, 0.578], [0.922, 0.144, 0.587], [0.922, 0.278, 0.335], [0.943, 0.665, 0.087], [0.943, 0.778, 0.856], [0.125, 0.250, 0.375], [0.125, 0.375, 0.750], [0.250, 0.375, 0.125], [0.250, 0.875, 0.625], [0.375, 0.125, 0.250], [0.375, 0.750, 0.125], [0.625, 0.250, 0.875], [0.625, 0.875, 0.750], [0.750, 0.125, 0.375], [0.750, 0.625, 0.875], [0.875, 0.625, 0.250], [0.875, 0.750, 0.625], [0.000, 0.000, 0.000], [0.000, 0.000, 0.500], [0.000, 0.500, 0.000], [0.000, 0.500, 0.500], [0.125, 0.750, 0.875], [0.125, 0.875, 0.250], [0.250, 0.125, 0.875], [0.250, 0.625, 0.375], [0.375, 0.250, 0.625], [0.375, 0.625, 0.750], [0.500, 0.000, 0.000], [0.500, 0.000, 0.500], [0.500, 0.500, 0.000], [0.500, 0.500, 0.500], [0.625, 0.375, 0.250], [0.625, 0.750, 0.375], [0.750, 0.375, 0.625], [0.750, 0.875, 0.125], [0.875, 0.125, 0.750], [0.875, 0.250, 0.125]],
  "raw_formation_energy_ev_per_fu": -1.34,
  "n_ef_per_ev_cell": 34.70
}

=====

7.
{
  "formula": "PrGaPdPt",
  "functional": "PBE-GGA",
  "state": "optimized geometry",
  "lattice": [[-2.025, 2.083, 5.344], [2.025, -2.083, 5.344], [2.025, 2.083, -5.344]],
  "species": ["Pr", "Ga", "Pd", "Pt"],
  "frac_coords": [[0.000, 0.000, 0.000], [0.748, 0.248, 0.500], [0.368, 0.368, 0.000], [0.618, 0.618, 0.000]],
  "formation_enthalpy_0k_kj_per_mol_atoms": -72,
  "n_ef_per_ev_cell": 1.02
}

=====

8.
{
  "formula": "Sc6AgPd5",
  "functional": "PBE-GGA",
  "state": "optimized geometry",
  "lattice": [[3.508, -5.292, 0.000], [3.508, 5.292, 0.000], [-1.491, 0.000, 6.520]],
  "species": ["Sc", "Sc", "Sc", "Sc", "Sc", "Sc", "Ag", "Pd", "Pd", "Pd", "Pd", "Pd"],
  "frac_coords": [[0.035, 0.393, 0.714], [0.190, 0.190, 0.197], [0.393, 0.035, 0.714], [0.607, 0.965, 0.286], [0.810, 0.810, 0.803], [0.965, 0.607, 0.286], [0.500, 0.500, 0.000], [0.000, 0.000, 0.500], [0.218, 0.782, 0.000], [0.372, 0.628, 0.500], [0.628, 0.372, 0.500], [0.782, 0.218, 0.000]],
  "formation_enthalpy_0k_kj_per_mol_atoms": -55,
  "n_ef_per_ev_cell": 7.62
}

=====

9.
{
  "formula": "HfBe2Ge2",
  "functional": "PBE-GGA",
  "state": "optimized geometry",
  "lattice": [[6.867, 0.000, 0.000], [0.000, 6.867, 0.000], [0.000, 0.000, 3.036]],
  "species": ["Hf", "Hf", "Be", "Be", "Be", "Be", "Ge", "Ge", "Ge", "Ge"],
  "frac_coords": [[0.000, 0.000, 0.000], [0.500, 0.500, 0.000], [0.113, 0.387, 0.000], [0.387, 0.887, 0.000], [0.613, 0.113, 0.000], [0.887, 0.613, 0.000], [0.175, 0.675, 0.500], [0.325, 0.175, 0.500], [0.675, 0.825, 0.500], [0.825, 0.325, 0.500]],
  "formation_enthalpy_0k_kj_per_mol_atoms": 5,
  "n_ef_per_ev_cell": 4.07
}

=====

10.
{
  "formula": "SiTc3W",
  "functional": "PBE-GGA",
  "state": "optimized geometry",
  "lattice": [[4.700, 0.000, 0.000], [0.000, 4.700, 0.000], [0.000, 0.000, 4.700]],
  "species": ["Si", "Tc", "Tc", "Tc", "W"],
  "frac_coords": [[0.000, 0.000, 0.000], [0.000, 0.500, 0.500], [0.500, 0.000, 0.500], [0.500, 0.500, 0.000], [0.500, 0.500, 0.500]],
  "raw_formation_energy_ev_per_fu": 9.54,
  "n_ef_per_ev_cell": 5.46
}

=====

11.
{
  "formula": "Dy6Tl2H",
  "functional": "PBE-GGA",
  "state": "optimized geometry",
  "lattice": [[6.443, 0.000, 0.000], [0.000, 8.104, 0.000], [-6.363, 0.000, 9.480]],
  "species": ["Dy", "Dy", "Dy", "Dy", "Dy", "Dy", "Dy", "Dy", "Dy", "Dy", "Dy", "Dy", "Tl", "Tl", "Tl", "Tl", "H", "H"],
  "frac_coords": [[0.089, 0.194, 0.449], [0.089, 0.306, 0.949], [0.310, 0.678, 0.448], [0.310, 0.822, 0.948], [0.370, 0.028, 0.253], [0.370, 0.472, 0.753], [0.630, 0.528, 0.247], [0.630, 0.972, 0.747], [0.690, 0.178, 0.052], [0.690, 0.322, 0.552], [0.911, 0.694, 0.051], [0.911, 0.806, 0.551], [0.170, 0.116, 0.744], [0.170, 0.384, 0.244], [0.830, 0.616, 0.756], [0.830, 0.884, 0.256], [0.000, 0.000, 0.000], [0.000, 0.500, 0.500]],
  "n_ef_per_ev_cell": 22.30
}

=====

12.
{
  "formula": "Tb3Pr6SmY2",
  "functional": "PBE-GGA",
  "state": "optimized geometry",
  "lattice": [[3.168, -5.488, 0.000], [3.168, 5.488, 0.000], [-2.103, 0.000, 11.784]],
  "species": ["Tb", "Tb", "Tb", "Pr", "Pr", "Pr", "Pr", "Pr", "Pr", "Sm", "Y", "Y"],
  "frac_coords": [[0.000, 0.000, 0.000], [0.333, 0.667, 0.000], [0.667, 0.333, 0.000], [0.083, 0.416, 0.249], [0.251, 0.251, 0.751], [0.416, 0.083, 0.249], [0.584, 0.917, 0.751], [0.749, 0.749, 0.249], [0.917, 0.584, 0.751], [0.500, 0.500, 0.500], [0.167, 0.833, 0.500], [0.833, 0.167, 0.500]],
  "formation_enthalpy_0k_kj_per_mol_atoms": 1,
  "n_ef_per_ev_cell": 14.33
}

=====

13.
{
  "formula": "TaTiNbC3",
  "functional": "PBE-GGA",
  "state": "optimized geometry",
  "lattice": [[3.139, 0.000, 0.000], [0.000, 4.546, 0.000], [0.000, 0.000, 9.178]],
  "species": ["Ta", "Ta", "Ti", "Ti", "Nb", "Nb", "C", "C", "C", "C", "C", "C"],
  "frac_coords": [[0.250, 0.250, 0.089], [0.750, 0.750, 0.911], [0.250, 0.750, 0.520], [0.750, 0.250, 0.480], [0.250, 0.250, 0.753], [0.750, 0.750, 0.247], [0.250, 0.084, 0.335], [0.250, 0.416, 0.335], [0.250, 0.750, 0.072], [0.750, 0.250, 0.928], [0.750, 0.584, 0.665], [0.750, 0.916, 0.665]],
  "formation_enthalpy_0k_kj_per_mol_atoms": -44,
  "n_ef_per_ev_cell": 3.00
}

=====

14.
{
  "formula": "KHgO2F",
  "functional": "PBE-GGA",
  "state": "optimized geometry",
  "lattice": [[4.821, 0.000, 0.000], [0.000, 4.821, 0.000], [0.000, 0.000, 4.872]],
  "species": ["K", "Hg", "O", "O", "F"],
  "frac_coords": [[0.000, 0.000, 0.000], [0.500, 0.500, 0.500], [0.000, 0.500, 0.000], [0.500, 0.000, 0.000], [0.000, 0.000, 0.500]],
  "raw_formation_energy_ev_per_fu": 1.02,
  "n_ef_per_ev_cell": 7.09
}

=====

15.
{
  "formula": "ZnSnO3",
  "functional": "PBE-GGA",
  "state": "optimized geometry",
  "lattice": [[3.840, 0.000, 0.000], [0.000, 3.840, 0.000], [0.000, 0.000, 3.840]],
  "species": ["Zn", "Sn", "O", "O", "O"],
  "frac_coords": [[0.000, 0.000, 0.000], [0.500, 0.500, 0.500], [0.000, 0.000, 0.500], [0.000, 0.500, 0.000], [0.500, 0.000, 0.000]],
  "raw_formation_energy_ev_per_fu": -2.86,
  "n_ef_per_ev_cell": 2.65
}

=====

16.
{
  "formula": "K3Nd2ErTe6",
  "functional": "PBE-GGA",
  "state": "optimized geometry",
  "lattice": [[3.957, -6.856, 0.000], [3.957, 6.856, 0.000], [-2.642, 0.000, 8.253]],
  "species": ["K", "K", "K", "Nd", "Nd", "Er", "Te", "Te", "Te", "Te", "Te", "Te"],
  "frac_coords": [[0.000, 0.000, 0.000], [0.331, 0.669, 0.000], [0.669, 0.331, 0.000], [0.166, 0.834, 0.500], [0.834, 0.166, 0.500], [0.500, 0.500, 0.500], [0.105, 0.430, 0.288], [0.247, 0.247, 0.712], [0.430, 0.105, 0.288], [0.570, 0.895, 0.712], [0.753, 0.753, 0.288], [0.895, 0.570, 0.712]],
  "raw_formation_energy_ev_per_fu": -16.84
}

=====

17.
{
  "formula": "TbPm6Sc3",
  "functional": "PBE-GGA",
  "state": "optimized geometry",
  "lattice": [[4.871, 2.812, 3.862], [-4.871, 2.812, 3.862], [0.000, -5.625, 3.862]],
  "species": ["Tb", "Pm", "Pm", "Pm", "Pm", "Pm", "Pm", "Sc", "Sc", "Sc"],
  "frac_coords": [[0.000, 0.000, 0.000], [0.165, 0.834, 0.499], [0.337, 0.662, 0.999], [0.499, 0.165, 0.834], [0.662, 0.999, 0.337], [0.834, 0.499, 0.165], [0.999, 0.337, 0.662], [0.259, 0.259, 0.259], [0.500, 0.500, 0.500], [0.741, 0.741, 0.741]],
  "formation_enthalpy_0k_kj_per_mol_atoms": 17,
  "n_ef_per_ev_cell": 18.64
}

=====

18.
{
  "formula": "Nd2Dy3Mg2",
  "functional": "PBE-GGA",
  "state": "optimized geometry",
  "lattice": [[1.770, -17.265, 0.000], [1.770, 17.265, 0.000], [0.000, 0.000, 3.509]],
  "species": ["Nd", "Nd", "Dy", "Dy", "Dy", "Mg", "Mg"],
  "frac_coords": [[0.205, 0.795, 0.000], [0.795, 0.205, 0.000], [0.072, 0.928, 0.000], [0.500, 0.500, 0.500], [0.928, 0.072, 0.000], [0.363, 0.637, 0.500], [0.637, 0.363, 0.500]],
  "formation_enthalpy_0k_kj_per_mol_atoms": 3,
  "n_ef_per_ev_cell": 8.96
}

=====

19.
{
  "formula": "Tb4Pm11Sm9",
  "functional": "PBE-GGA",
  "state": "optimized geometry",
  "lattice": [[8.528, -13.003, 0.000], [8.528, 13.003, 0.000], [0.000, 0.000, 3.693]],
  "species": ["Tb", "Tb", "Tb", "Tb", "Pm", "Pm", "Pm", "Pm", "Pm", "Pm", "Pm", "Pm", "Pm", "Pm", "Pm", "Sm", "Sm", "Sm", "Sm", "Sm", "Sm", "Sm", "Sm", "Sm"],
  "frac_coords": [[0.056, 0.259, 0.000], [0.259, 0.056, 0.000], [0.741, 0.944, 0.000], [0.944, 0.741, 0.000], [0.096, 0.458, 0.500], [0.131, 0.869, 0.500], [0.210, 0.210, 0.500], [0.338, 0.662, 0.500], [0.458, 0.096, 0.500], [0.500, 0.500, 0.500], [0.542, 0.904, 0.500], [0.662, 0.338, 0.500], [0.790, 0.790, 0.500], [0.869, 0.131, 0.500], [0.904, 0.542, 0.500], [0.000, 0.000, 0.000], [0.129, 0.665, 0.000], [0.287, 0.435, 0.000], [0.335, 0.871, 0.000], [0.435, 0.287, 0.000], [0.565, 0.713, 0.000], [0.665, 0.129, 0.000], [0.713, 0.565, 0.000], [0.871, 0.335, 0.000]],
  "formation_enthalpy_0k_kj_per_mol_atoms": 5,
  "n_ef_per_ev_cell": 32.01
}

=====

20.
{
  "formula": "Ba2CdCu",
  "functional": "PBE-GGA",
  "state": "optimized geometry",
  "lattice": [[4.913, 0.000, 0.000], [0.000, 2.418, 6.309], [0.000, -2.418, 6.309]],
  "species": ["Ba", "Ba", "Cd", "Cu"],
  "frac_coords": [[0.000, 0.000, 0.000], [0.500, 0.282, 0.282], [0.500, 0.582, 0.582], [0.000, 0.694, 0.694]],
  "formation_enthalpy_0k_kj_per_mol_atoms": -12,
  "n_ef_per_ev_cell": 2.95
}

=====

Number 1: E -0.28799 Ha/atom. Number 2: E -0.27613 Ha/atom. Number 3: E -0.19348 Ha/atom. Number 4: E -0.16054 Ha/atom. Number 5: E -0.10099 Ha/atom. Number 6: E -0.10756 Ha/atom. Number 7: E -0.20218 Ha/atom. Number 8: E -0.22568 Ha/atom. Number 9: E -0.19378 Ha/atom. Number 10: E -0.29350 Ha/atom. Number 11: E -0.15144 Ha/atom. Number 12: E -0.18407 Ha/atom. Number 13: E -0.36880 Ha/atom. Number 14: E -0.08946 Ha/atom. Number 15: E -0.16910 Ha/atom. Number 16: E -0.16255 Ha/atom. Number 17: E -0.18499 Ha/atom. Number 18: E -0.13822 Ha/atom. Number 19: E -0.17135 Ha/atom. Number 20: E -0.08604 Ha/atom.